! Ce6GeRu2 | Alexandria via LeMat-Bulk | PBE-GGA | relaxed; values from VASP
&SYSTEM
  ibrav = 0, nat = 18, ntyp = 3
/
ATOMIC_SPECIES
Ce 140.12 Ce.upf
Ru 101.07 Ru.upf
Ge 72.64 Ge.upf
ATOMIC_POSITIONS angstrom
Ce -2.899 -7.414 0.581
Ce -9.330 -5.848 4.443
Ce -11.269 -4.401 1.836
Ce -4.969 -9.240 1.126
Ce -5.894 -5.211 0.803
Ce -9.198 -2.574 1.291
Ru -6.472 -3.746 -2.173
Ge -6.899 -7.961 -0.763
Ru -7.696 -8.068 4.589
Ce -5.369 -1.641 2.030
Ce -8.799 -10.174 0.386
Ru -4.259 -3.104 -0.032
Ce -8.478 -5.356 -1.079
Ge -7.268 -3.854 3.180
Ce -4.838 -5.967 -2.026
Ce -8.274 -6.604 1.613
Ru -9.909 -8.711 2.448
Ce -5.689 -6.458 3.495
CELL_PARAMETERS angstrom
-4.514 -1.169 -4.221
-2.320 -8.687 1.570
-7.333 -1.959 5.068
! Size of the total moment ... 0.1463 μB per atom
! VASP energy ... -6.812 eV per atom
! E_form ... -27 kJ per mole of atoms


! Ce8GeRu2 | Alexandria via LeMat-Bulk | PBE-GGA | relaxed; values from VASP
&SYSTEM
  ibrav = 0, nat = 11, ntyp = 3
/
ATOMIC_SPECIES
Ce 140.12 Ce.upf
Ge 72.64 Ge.upf
Ru 101.07 Ru.upf
ATOMIC_POSITIONS angstrom
Ce 3.045 4.486 3.448
Ce 3.623 8.642 3.321
Ge 2.468 0.330 0.000
Ce 1.887 11.045 5.369
Ce 2.002 3.539 0.000
Ce 5.358 6.238 5.369
Ru 1.155 8.312 4.103
Ce 4.088 5.432 0.000
Ru 0.577 4.156 2.666
Ce 1.310 6.889 1.400
Ce 4.781 2.082 1.400
CELL_PARAMETERS angstrom
4.936 0.659 0.000
1.155 8.312 0.000
0.577 4.156 6.769
! Size of the total moment ... 0.0476 μB per atom
! VASP energy ... -6.657 eV per atom
! E_form ... -23 kJ per mole of atoms


! CeGe4Ru | Alexandria via LeMat-Bulk | PBE-GGA | relaxed; values from VASP
&SYSTEM
  ibrav = 0, nat = 12, ntyp = 3
/
ATOMIC_SPECIES
Ge 72.64 Ge.upf
Ru 101.07 Ru.upf
Ce 140.12 Ce.upf
ATOMIC_POSITIONS angstrom
Ge 2.343 5.984 1.662
Ge 2.407 1.613 3.177
Ge 0.734 3.616 3.454
Ge -0.741 0.241 2.845
Ru 1.568 -0.763 2.712
Ce -2.529 0.167 5.714
Ge 0.798 -0.755 4.970
Ge 3.959 2.607 1.057
Ge 3.882 4.988 3.787
Ce 5.669 5.062 0.918
Ge -0.819 2.622 5.574
Ru -1.576 2.618 3.311
CELL_PARAMETERS angstrom
6.293 -0.007 0.009
0.005 6.756 1.208
-3.157 -1.519 5.414
! Size of the total moment ... 0.1026 μB per atom
! VASP energy ... -5.944 eV per atom
! E_form ... -32 kJ per mole of atoms